40
Lattice="9.761 0.000 0.000 0.000 9.761 0.000 0.000 0.000 9.761" Properties=species:S:1:pos:R:3 comment="CeSn3Ru | Alexandria | PBE | optimized geometry" final_energy_ev_per_fu=-29.6 delta_e_f_ev_per_atom=-0.49 pbc="T T T"
Ce 7.321 0.000 4.880
Ce 4.880 2.440 0.000
Ce 0.000 4.880 7.321
Ce 4.880 4.880 4.880
Ce 2.440 0.000 4.880
Ce 4.880 7.321 0.000
Ce 0.000 4.880 2.440
Ce 0.000 0.000 0.000
Ru 7.321 7.321 2.440
Ru 2.440 7.321 2.440
Ru 2.440 7.321 7.321
Ru 2.440 2.440 7.321
Ru 7.321 7.321 7.321
Ru 7.321 2.440 7.321
Ru 7.321 2.440 2.440
Ru 2.440 2.440 2.440
Sn 3.369 4.880 1.783
Sn 4.880 1.783 3.369
Sn 7.977 3.369 4.880
Sn 4.880 7.977 6.392
Sn 6.392 4.880 1.783
Sn 0.000 8.250 6.664
Sn 0.000 8.250 3.097
Sn 1.783 3.369 4.880
Sn 1.511 3.097 0.000
Sn 1.783 6.392 4.880
Sn 7.977 6.392 4.880
Sn 8.250 6.664 0.000
Sn 8.250 3.097 0.000
Sn 1.511 6.664 0.000
Sn 6.664 0.000 1.511
Sn 3.097 0.000 1.511
Sn 3.097 0.000 8.250
Sn 0.000 1.511 3.097
Sn 6.392 4.880 7.977
Sn 3.369 4.880 7.977
Sn 6.664 0.000 8.250
Sn 4.880 1.783 6.392
Sn 4.880 7.977 3.369
Sn 0.000 1.511 6.664


5
Lattice="4.390 0.000 0.000 0.000 5.854 0.000 0.000 0.000 4.390" Properties=species:S:1:pos:R:3 comment="BaCoOs2C | Alexandria | PBE | optimized geometry" final_energy_ev_per_fu=-28.8 delta_e_f_ev_per_atom=2.39 pbc="T T T"
Co 0.000 0.000 0.000
Os 0.000 0.000 2.195
Os 2.195 0.000 0.000
Ba 0.000 2.927 0.000
C 2.195 2.927 2.195


10
Lattice="-4.811 -1.530 5.205 2.284 -1.569 6.701 -1.138 5.229 5.535" Properties=species:S:1:pos:R:3 comment="TbCeTm2Se6 | Alexandria | PBE | optimized geometry" e_form_raw_kj_per_mol_atoms=-175 final_energy_ev_per_fu=-58.6 pbc="T T T"
Se -4.054 2.582 8.821
Se -2.723 -0.020 6.117
Se -3.231 -1.070 10.215
Se 0.683 -0.489 8.634
Se -0.596 3.089 7.446
Se -1.065 2.164 11.055
Tm -1.820 0.800 8.654
Tm -1.128 5.014 5.482
Tb -0.857 -0.719 4.047
Ce -2.693 0.428 12.788


24
Lattice="3.509 0.000 0.000 0.000 13.034 -5.296 0.000 0.252 14.066" Properties=species:S:1:pos:R:3 comment="Y9Ho4In11 | Alexandria | PBE | optimized geometry" final_energy_ev_per_fu=-116.5 delta_e_f_ev_per_atom=-0.41 pbc="T T T"
Y 1.754 13.050 5.984
Y 1.754 11.003 1.011
Y 1.754 2.655 -0.878
Y 1.754 6.643 4.385
Y 1.754 0.236 2.786
Y 1.754 5.254 9.721
Y 1.754 2.283 7.760
Y 1.754 8.032 -0.950
Y 1.754 10.631 9.648
In 0.000 7.932 10.310
In 0.000 0.000 0.000
In 0.000 2.639 10.450
In 0.000 5.092 6.735
In 0.000 0.688 5.528
In 0.000 10.515 6.942
In 0.000 8.194 2.036
In 0.000 10.647 -1.680
In 0.000 12.598 3.242
In 0.000 2.771 1.829
In 0.000 5.354 -1.540
Ho 1.754 3.321 4.469
Ho 1.754 5.415 1.297
Ho 1.754 9.965 4.301
Ho 1.754 7.871 7.473


4
Lattice="6.288 -0.029 0.015 4.989 3.828 0.015 -1.325 -0.446 3.817" Properties=species:S:1:pos:R:3 comment="HgAuSe2 | Alexandria | PBE | optimized geometry" e_form_raw_kj_per_mol_atoms=4 final_energy_ev_per_fu=-10.4 pbc="T T T"
Hg 7.464 2.514 2.885
Au 2.488 0.838 0.962
Se 0.183 0.062 0.071
Se 4.793 1.614 1.853


4
Lattice="3.212 0.000 0.000 0.000 3.212 0.000 0.000 0.000 6.452" Properties=species:S:1:pos:R:3 comment="Ta2TcW | Alexandria | PBE | optimized geometry" polymorph_energy_ev_per_atom=0.000 final_energy_ev_per_fu=-48.2 delta_e_f_ev_per_atom=-0.30 pbc="T T T"
W 1.606 1.606 3.226
Tc 1.606 1.606 0.000
Ta 0.000 0.000 1.593
Ta 0.000 0.000 4.859